No. 1
This record from Alexandria describes crystalline Sr2SbIr at its relaxed geometry. The functional is PBE-GGA.

Properties
- N(E_F): 0.87 states/eV/cell
- Magnetic moment: 0.000 μB per cell
- E_form (uncorrected): -0.29 eV per atom
- E: -17.51 eV per cell

a = 4.936 Å, b = 4.936 Å, c = 4.391 Å
α = 90.00°, β = 90.00°, γ = 90.00°
Fractional coordinates of all 4 atoms:
Sr (0.000, 0.500, 0.000)
Sr (0.500, 0.000, 0.000)
Sb (0.000, 0.000, 0.500)
Ir (0.500, 0.500, 0.500)

No. 2
This record from Alexandria describes crystalline Cd2Cu at its relaxed geometry. The functional is PBE-GGA.

Properties
- Energy relative to the elements: 0.025 eV per atom
- N(E_F): 2.75 states/eV/cell
- Magnetic moment: 0.000 μB per cell
- E: -46.81 eV per cell

a = 8.560 Å, b = 8.560 Å, c = 8.560 Å
α = 60.00°, β = 60.00°, γ = 60.00°
Fractional coordinates of all 24 atoms:
Cd (0.000, 0.000, 0.000)
Cd (0.000, 0.000, 0.500)
Cd (0.000, 0.500, 0.000)
Cd (0.188, 0.188, 0.562)
Cd (0.188, 0.562, 0.188)
Cd (0.188, 0.562, 0.562)
Cd (0.438, 0.438, 0.812)
Cd (0.438, 0.812, 0.438)
Cd (0.438, 0.812, 0.812)
Cd (0.500, 0.000, 0.000)
Cd (0.562, 0.188, 0.188)
Cd (0.562, 0.188, 0.562)
Cd (0.562, 0.562, 0.188)
Cd (0.812, 0.438, 0.438)
Cd (0.812, 0.438, 0.812)
Cd (0.812, 0.812, 0.438)
Cu (0.133, 0.789, 0.789)
Cu (0.211, 0.211, 0.211)
Cu (0.211, 0.211, 0.867)
Cu (0.211, 0.867, 0.211)
Cu (0.789, 0.133, 0.789)
Cu (0.789, 0.789, 0.133)
Cu (0.789, 0.789, 0.789)
Cu (0.867, 0.211, 0.211)

No. 3
This record from Alexandria describes crystalline Pm2ErIn2Hg2 at its relaxed geometry. The functional is PBE-GGA.

Properties
- Energy relative to the elements: -0.286 eV per atom
- N(E_F): 4.20 states/eV/cell
- Magnetic moment: 0.000 μB per cell
- E: -22.15 eV per cell

a = 9.737 Å, b = 9.737 Å, c = 9.737 Å
α = 29.17°, β = 29.17°, γ = 29.17°
Fractional coordinates of all 7 atoms:
Pm (0.127, 0.127, 0.127)
Pm (0.873, 0.873, 0.873)
Er (0.000, 0.000, 0.000)
In (0.259, 0.259, 0.259)
In (0.741, 0.741, 0.741)
Hg (0.387, 0.387, 0.387)
Hg (0.613, 0.613, 0.613)

No. 4
This record from Alexandria describes crystalline ErTm4Mg at its relaxed geometry. The functional is PBE-GGA.

Properties
- Energy relative to the elements: -0.006 eV per atom
- Polymorph energy (0 for the lowest one): 0.000 eV/f.u.
- N(E_F): 8.66 states/eV/cell
- Magnetic moment: 0.001 μB per cell
- E: -24.08 eV per cell

a = 3.494 Å, b = 3.494 Å, c = 14.293 Å
α = 90.00°, β = 90.00°, γ = 90.00°
Fractional coordinates of all 6 atoms:
Er (0.000, 0.000, 0.000)
Tm (0.000, 0.000, 0.343)
Tm (0.000, 0.000, 0.657)
Tm (0.500, 0.500, 0.173)
Tm (0.500, 0.500, 0.827)
Mg (0.500, 0.500, 0.500)

- Which of these has the highest E?
  Sr2SbIr

What did the fourth record say?
This record from Alexandria describes crystalline ErTm4Mg at its relaxed geometry. The functional is PBE-GGA.

Properties
- Energy relative to the elements: -0.006 eV per atom
- Polymorph energy (0 for the lowest one): 0.000 eV/f.u.
- N(E_F): 8.66 states/eV/cell
- Magnetic moment: 0.001 μB per cell
- E: -24.08 eV per cell

a = 3.494 Å, b = 3.494 Å, c = 14.293 Å
α = 90.00°, β = 90.00°, γ = 90.00°
Fractional coordinates of all 6 atoms:
Er (0.000, 0.000, 0.000)
Tm (0.000, 0.000, 0.343)
Tm (0.000, 0.000, 0.657)
Tm (0.500, 0.500, 0.173)
Tm (0.500, 0.500, 0.827)
Mg (0.500, 0.500, 0.500)

What did the fourth record say?
This record from Alexandria describes crystalline ErTm4Mg at its relaxed geometry. The functional is PBE-GGA.

Properties
- Energy relative to the elements: -0.006 eV per atom
- Polymorph energy (0 for the lowest one): 0.000 eV/f.u.
- N(E_F): 8.66 states/eV/cell
- Magnetic moment: 0.001 μB per cell
- E: -24.08 eV per cell

a = 3.494 Å, b = 3.494 Å, c = 14.293 Å
α = 90.00°, β = 90.00°, γ = 90.00°
Fractional coordinates of all 6 atoms:
Er (0.000, 0.000, 0.000)
Tm (0.000, 0.000, 0.343)
Tm (0.000, 0.000, 0.657)
Tm (0.500, 0.500, 0.173)
Tm (0.500, 0.500, 0.827)
Mg (0.500, 0.500, 0.500)

- Among the records above, which one has the highest N(E_F)?
  ErTm4Mg